1.
Density functional theory data (PBE) for PuUPaRu after structural relaxation.

a = 4.8244 Å, b = 4.8244 Å, c = 4.8244 Å
α = 60.00°, β = 60.00°, γ = 60.00°
Last column: nearest neighbours and their distance in Å.
Sites, in units of the cell vectors:
Ru: 0.7500 0.7500 0.7500  4 Pa 2.95, 4 Pu 2.95
Pu: 0.0000 0.0000 0.0000  4 Ru 2.95, 4 U 2.95
U: 0.2500 0.2500 0.2500  4 Pu 2.95, 4 Pa 2.95
Pa: 0.5000 0.5000 0.5000  4 U 2.95, 4 Ru 2.95

Values from the calculation:
The total DFT energy (no corrections) is -44.4 eV for the cell shown. Its total magnetization is 4.06 μB/cell. The value obtained for the calculated formation energy is -13.3 meV/atom. The density of states at the Fermi level comes out at 11.49 states/eV/cell. Its space group is F-43m (216). The value obtained for the mass density is 17.0 g/cm³.


2.
Density functional theory data (PBE) for RbGaTeF2 after structural relaxation.

a = 4.8771 Å, b = 6.5430 Å, c = 4.8771 Å
α = 90.00°, β = 90.00°, γ = 90.00°
Last column: nearest neighbours and their distance in Å.
Sites, in units of the cell vectors:
Te: 0.5000 0.5000 0.5000  4 Ga 3.45
Ga: 0.0000 0.5000 0.0000  2 Rb 3.27, 4 Te 3.45
Rb: 0.0000 0.0000 0.0000  4 F 2.44
F: 0.5000 0.0000 0.0000  2 Rb 2.44
F: 0.0000 0.0000 0.5000  2 Rb 2.44

Values from the calculation:
The total DFT energy (no corrections) is -14.5 eV for the cell shown. Its total magnetization is 1.95 μB/cell. The density of states at the Fermi level comes out at 2.74 states/eV/cell. Its uncorrected formation energy is -0.719 eV per atom. Its space group is P4/mmm (123). The value obtained for the mass density is 3.4 g/cm³.


3.
Density functional theory data (PBE) for Ce6TlRh2 after structural relaxation.

a = 4.6530 Å, b = 5.8319 Å, c = 8.9400 Å
α = 91.29°, β = 90.00°, γ = 113.51°
Last column: nearest neighbours and their distance in Å.
Sites, in units of the cell vectors:
Tl: 0.0000 0.0000 0.5000  8 Ce 3.24-3.33
Ce: 0.0702 0.1403 0.8650  3 Ce 2.87-2.93, 3 Rh 2.96-2.97
Ce: 0.9298 0.8597 0.1350  3 Ce 2.87-2.93, 3 Rh 2.96-2.97
Rh: 0.2573 0.5146 0.1138  1 Ce 2.61
Ce: 0.2898 0.5797 0.4038  1 Rh 2.61
Ce: 0.5929 0.1859 0.1826  2 Ce 2.93, 3 Rh 2.99-3.13
Ce: 0.4071 0.8141 0.8174  2 Ce 2.93, 3 Rh 2.99-3.13
Rh: 0.7427 0.4854 0.8862  1 Ce 2.61
Ce: 0.7102 0.4203 0.5962  1 Rh 2.61

Values from the calculation:
The total DFT energy (no corrections) is -56.3 eV for the cell shown. Its total magnetization is 2.27 μB/cell. The value obtained for the calculated formation energy is -408.1 meV/atom. The density of states at the Fermi level comes out at 21.39 states/eV/cell. Its space group is C2/m (12). The value obtained for the mass density is 9.3 g/cm³.


4.
Density functional theory data (PBE) for HgSb2Te after structural relaxation.

a = 6.1912 Å, b = 3.1898 Å, c = 6.9639 Å
α = 61.66°, β = 90.00°, γ = 90.00°
Last column: nearest neighbours and their distance in Å.
Sites, in units of the cell vectors:
Te: 0.0000 0.6252 0.6237  2 Sb 3.06-3.07, 2 Hg 3.10, 2 Te 3.19
Sb: 0.0000 0.1267 0.1243  2 Te 3.06-3.07, 4 Sb 3.10-3.19
Sb: 0.5000 0.1248 0.1257  2 Hg 3.06-3.07, 4 Sb 3.10-3.19
Hg: 0.5000 0.6233 0.6263  2 Sb 3.06-3.07, 2 Te 3.10, 2 Hg 3.19

Values from the calculation:
The total DFT energy (no corrections) is -11.5 eV for the cell shown. Its total magnetization is 0.00 μB/cell. The density of states at the Fermi level comes out at 1.54 states/eV/cell. Its uncorrected formation energy is 0.040 eV per atom. As for the energy above the most stable polymorph in this dataset: 6.2 meV/atom. Its space group is Pm (6). The value obtained for the mass density is 7.8 g/cm³.


5.
Density functional theory data (PBE) for Dy2NiBr after structural relaxation.

a = 3.9414 Å, b = 3.9414 Å, c = 7.8616 Å
α = 75.48°, β = 75.48°, γ = 60.00°
Last column: nearest neighbours and their distance in Å.
Sites, in units of the cell vectors:
Ni: 0.0000 0.0000 0.0000  6 Dy 2.69
Dy: 0.2700 0.2700 0.1898  3 Ni 2.69
Br: 0.5000 0.5000 0.5000  6 Dy 3.26
Dy: 0.7300 0.7300 0.8102  3 Ni 2.69

Values from the calculation:
The total DFT energy (no corrections) is -19.9 eV for the cell shown. Its total magnetization is 0.00 μB/cell. The density of states at the Fermi level comes out at 2.81 states/eV/cell. Its uncorrected formation energy is -0.821 eV per atom. As for the energy above the most stable polymorph in this dataset: 0.0 meV/atom. Its space group is R-3m (166). The value obtained for the mass density is 7.6 g/cm³.